# 1
Compound: Zr3Ga4Tc
Source: the Alexandria database
Functional: PBE-GGA
Structure: optimized geometry

Properties
Raw total energy ... -6.205 eV/atom
Energy of formation ... -190 meV/atom
Size of the total moment ... 0.00 μB/cell

a b c (Å): 8.2333 8.2333 8.2333
angles (deg): 155.87 137.12 49.80
Closest atoms and distances in Å follow each position.
Sites, in units of the cell vectors:
Zr1 0.0000 0.0000 0.0000  8 Ga 2.83
Zr2 0.2915 0.7915 0.5000  6 Ga 2.74-2.83
Zr3 0.7085 0.2085 0.5000  6 Ga 2.74-2.83
Ga1 0.0913 0.3768 0.7146  1 Tc 2.52, 1 Ga 2.58, 2 Zr 2.74
Ga2 0.3378 0.6232 0.7146  1 Tc 2.52, 1 Ga 2.58, 2 Zr 2.74
Ga3 0.6622 0.3768 0.2854  1 Tc 2.52, 1 Ga 2.58, 2 Zr 2.74
Ga4 0.9087 0.6232 0.2854  1 Tc 2.52, 1 Ga 2.58, 2 Zr 2.74
Tc1 0.5000 0.5000 0.0000  4 Ga 2.52

---

# 2
Compound: Na3Nd3TiTe8
Source: the Alexandria database
Functional: PBE-GGA
Structure: optimized geometry

Properties
Raw total energy ... -4.563 eV/atom
Size of the total moment ... 0.07 μB/cell

a b c (Å): 9.2330 9.2330 9.2330
angles (deg): 57.37 57.37 57.37
Closest atoms and distances in Å follow each position.
Sites, in units of the cell vectors:
Na1 0.0000 0.5000 0.5000  6 Te 3.23-3.26
Na2 0.5000 0.0000 0.5000  6 Te 3.23-3.26
Na3 0.5000 0.5000 0.0000  6 Te 3.23-3.26
Nd1 0.0000 0.0000 0.5000  6 Te 3.17-3.18
Nd2 0.0000 0.5000 0.0000  6 Te 3.17-3.18
Nd3 0.5000 0.0000 0.0000  6 Te 3.17-3.18
Ti1 0.5000 0.5000 0.5000  6 Te 2.87
Te1 0.2475 0.2475 0.2475  3 Nd 3.17, 3 Na 3.23
Te2 0.2715 0.7242 0.7242  1 Ti 2.87, 2 Nd 3.18
Te3 0.2758 0.2758 0.7285  1 Ti 2.87, 2 Nd 3.18
Te4 0.2758 0.7285 0.2758  1 Ti 2.87, 2 Nd 3.18
Te5 0.7242 0.2715 0.7242  1 Ti 2.87, 2 Nd 3.18
Te6 0.7242 0.7242 0.2715  1 Ti 2.87, 2 Nd 3.18
Te7 0.7285 0.2758 0.2758  1 Ti 2.87, 2 Nd 3.18
Te8 0.7525 0.7525 0.7525  3 Nd 3.17, 3 Na 3.23

---

# 3
Compound: PrMg2Pt
Source: the Alexandria database
Functional: PBE-GGA
Structure: optimized geometry

Properties
Raw total energy ... -4.184 eV/atom
Energy of formation ... -682 meV/atom
Size of the total moment ... 0.00 μB/cell

a b c (Å): 15.9961 8.2011 5.6736
angles (deg): 90.00 90.00 90.00
Closest atoms and distances in Å follow each position.
Sites, in units of the cell vectors:
Pr1 0.1050 0.2500 0.2407  3 Pt 3.05-3.13, 2 Mg 3.38
Pr2 0.1361 0.7500 0.0465  3 Pt 2.98-3.10
Pr3 0.3639 0.2500 0.5465  3 Pt 2.98-3.10
Pr4 0.3950 0.7500 0.7407  3 Pt 3.05-3.13, 2 Mg 3.38
Pr5 0.6050 0.2500 0.2593  3 Pt 3.05-3.13, 2 Mg 3.38
Pr6 0.6361 0.7500 0.4535  3 Pt 2.98-3.10
Pr7 0.8639 0.2500 0.9535  3 Pt 2.98-3.10
Pr8 0.8950 0.7500 0.7593  3 Pt 3.05-3.13, 2 Mg 3.38
Mg1 0.0412 0.0562 0.7341  3 Pt 2.79-2.82, 2 Mg 3.09-3.11
Mg2 0.0412 0.4438 0.7341  3 Pt 2.79-2.82, 2 Mg 3.09-3.11
Mg3 0.2121 0.5563 0.5383  3 Pt 2.79-2.82, 1 Mg 3.09
Mg4 0.2121 0.9437 0.5383  3 Pt 2.79-2.82, 1 Mg 3.09
Mg5 0.2879 0.0563 0.0383  3 Pt 2.79-2.82, 1 Mg 3.09
Mg6 0.2879 0.4437 0.0383  3 Pt 2.79-2.82, 1 Mg 3.09
Mg7 0.4588 0.5562 0.2341  3 Pt 2.79-2.82, 2 Mg 3.09-3.11
Mg8 0.4588 0.9438 0.2341  3 Pt 2.79-2.82, 2 Mg 3.09-3.11
Mg9 0.5412 0.0562 0.7659  3 Pt 2.79-2.82, 2 Mg 3.09-3.11
Mg10 0.5412 0.4438 0.7659  3 Pt 2.79-2.82, 2 Mg 3.09-3.11
Mg11 0.7121 0.5563 0.9617  3 Pt 2.79-2.82, 1 Mg 3.09
Mg12 0.7121 0.9437 0.9617  3 Pt 2.79-2.82, 1 Mg 3.09
Mg13 0.7879 0.0563 0.4617  3 Pt 2.79-2.82, 1 Mg 3.09
Mg14 0.7879 0.4437 0.4617  3 Pt 2.79-2.82, 1 Mg 3.09
Mg15 0.9588 0.5562 0.2659  3 Pt 2.79-2.82, 2 Mg 3.09-3.11
Mg16 0.9588 0.9438 0.2659  3 Pt 2.79-2.82, 2 Mg 3.09-3.11
Pt1 0.0681 0.7500 0.5355  6 Mg 2.79-2.81, 3 Pr 2.98-3.10
Pt2 0.1867 0.2500 0.7420  6 Mg 2.79-2.82, 3 Pr 3.04-3.13
Pt3 0.3133 0.7500 0.2420  6 Mg 2.79-2.82, 3 Pr 3.04-3.13
Pt4 0.4319 0.2500 0.0355  6 Mg 2.79-2.81, 3 Pr 2.98-3.10
Pt5 0.5681 0.7500 0.9645  6 Mg 2.79-2.81, 3 Pr 2.98-3.10
Pt6 0.6867 0.2500 0.7580  6 Mg 2.79-2.82, 3 Pr 3.04-3.13
Pt7 0.8133 0.7500 0.2580  6 Mg 2.79-2.82, 3 Pr 3.04-3.13
Pt8 0.9319 0.2500 0.4645  6 Mg 2.79-2.81, 3 Pr 2.98-3.10

---

# 4
Compound: SrTaBr
Source: the Alexandria database
Functional: PBE-GGA
Structure: optimized geometry

Properties
Raw total energy ... -5.511 eV/atom
Energy relative to the lowest polymorph listed for this composition ... 132 meV per atom
Size of the total moment ... 0.00 μB/cell

a b c (Å): 3.6899 12.7523 12.7523
angles (deg): 16.39 90.00 90.00
Closest atoms and distances in Å follow each position.
Sites, in units of the cell vectors:
Sr1 0.0000 0.0000 0.0000  5 Ta 3.33-3.48, 2 Br 3.49, 4 Sr 3.63-3.69
Sr2 0.5000 0.1922 0.1922  8 Br 3.08-3.20
Ta1 0.0000 0.8681 0.8681  1 Br 2.77, 4 Ta 2.78
Ta2 0.5000 0.4078 0.4078  4 Ta 2.78
Br1 0.0000 0.6178 0.6178  6 Sr 3.20-3.49, 1 Br 3.54
Br2 0.0000 0.7581 0.7581  1 Ta 2.77, 4 Sr 3.08

---

# 5
Compound: PmPuSn3
Source: the Alexandria database
Functional: PBE-GGA
Structure: optimized geometry

Properties
Raw total energy ... -6.666 eV/atom
Energy of formation ... -447 meV/atom
Size of the total moment ... 11.57 μB/cell

a b c (Å): 6.1949 6.2627 8.4374
angles (deg): 90.42 104.97 118.52
Closest atoms and distances in Å follow each position.
Sites, in units of the cell vectors:
Pm1 0.1785 0.1970 0.3518  8 Sn 3.24-3.46
Pm2 0.8215 0.8030 0.6482  8 Sn 3.24-3.46
Pu1 0.1834 0.4705 0.8649  9 Sn 3.22-3.56
Pu2 0.8166 0.5295 0.1351  9 Sn 3.22-3.56
Sn1 0.2406 0.7349 0.5240  3 Sn 2.95-3.20, 2 Pm 3.24-3.29
Sn2 0.2506 0.0031 0.0169  4 Sn 3.02-3.19, 2 Pm 3.28-3.29, 4 Pu 3.29-3.37
Sn3 0.4891 0.7376 0.2529  4 Sn 3.07-3.20, 2 Pu 3.22-3.29, 2 Pm 3.24-3.34
Sn4 0.5109 0.2624 0.7471  4 Sn 3.07-3.20, 2 Pu 3.22-3.29, 2 Pm 3.24-3.34
Sn5 0.7494 0.9969 0.9831  4 Sn 3.02-3.19, 2 Pm 3.28-3.29, 4 Pu 3.29-3.37
Sn6 0.7594 0.2651 0.4760  3 Sn 2.95-3.20, 2 Pm 3.24-3.29

---

# 6
Compound: Ti6Co3Ni
Source: the Alexandria database
Functional: PBE-GGA
Structure: optimized geometry

Properties
Raw total energy ... -7.541 eV/atom
Energy of formation ... -94 meV/atom
Energy relative to the lowest polymorph listed for this composition ... 193 meV per atom
Size of the total moment ... 0.00 μB/cell

a b c (Å): 6.7342 5.7918 10.1219
angles (deg): 90.00 131.15 90.00
Closest atoms and distances in Å follow each position.
Sites, in units of the cell vectors:
Ti1 0.0241 0.1328 0.2474  2 Co 2.42-2.48
Ti2 0.0241 0.3672 0.7474  2 Co 2.42-2.48
Ti3 0.2460 0.1533 0.0731  2 Co 2.36-2.39, 1 Ni 2.43
Ti4 0.2460 0.3467 0.5731  2 Co 2.36-2.39, 1 Ni 2.43
Ti5 0.3885 0.6306 0.0588  3 Co 2.39-2.60, 1 Ni 2.47
Ti6 0.3885 0.8694 0.5588  3 Co 2.39-2.60, 1 Ni 2.47
Ti7 0.6115 0.1306 0.4412  3 Co 2.39-2.60, 1 Ni 2.47
Ti8 0.6115 0.3694 0.9412  3 Co 2.39-2.60, 1 Ni 2.47
Ti9 0.7540 0.6533 0.4269  2 Co 2.36-2.39, 1 Ni 2.43
Ti10 0.7540 0.8467 0.9269  2 Co 2.36-2.39, 1 Ni 2.43
Ti11 0.9759 0.6328 0.2526  2 Co 2.42-2.48
Ti12 0.9759 0.8672 0.7526  2 Co 2.42-2.48
Co1 0.0000 0.0000 0.5000  4 Ti 2.39, 2 Co 2.58
Co2 0.0000 0.5000 0.0000  4 Ti 2.39, 2 Co 2.58
Co3 0.2599 0.6678 0.7226  5 Ti 2.36-2.60, 1 Co 2.58
Co4 0.2599 0.8322 0.2226  5 Ti 2.36-2.60, 1 Co 2.58
Co5 0.7401 0.1678 0.7774  5 Ti 2.36-2.60, 1 Co 2.58
Co6 0.7401 0.3322 0.2774  5 Ti 2.36-2.60, 1 Co 2.58
Ni1 0.5000 0.0000 0.0000  4 Ti 2.43-2.47
Ni2 0.5000 0.5000 0.5000  4 Ti 2.43-2.47

---

# 7
Compound: Tb5Pm2Ho6
Source: the Alexandria database
Functional: PBE-GGA
Structure: optimized geometry

Properties
Raw total energy ... -4.527 eV/atom
Energy of formation ... 98 meV/atom
Size of the total moment ... 0.00 μB/cell

a b c (Å): 11.6550 20.2362 3.5754
angles (deg): 90.00 90.00 90.00
Closest atoms and distances in Å follow each position.
Sites, in units of the cell vectors:
Tb1 0.0000 0.0000 0.0000  6 Ho 3.36, 4 Tb 3.58-3.65
Tb2 0.0893 0.2762 0.0000  5 Ho 3.31-3.45, 4 Pm 3.51-3.56, 2 Tb 3.58
Tb3 0.1998 0.5506 0.0000  7 Ho 3.55-3.93, 3 Tb 3.58-3.65, 2 Pm 3.77
Tb4 0.3002 0.0506 0.0000  7 Ho 3.55-3.93, 3 Tb 3.58-3.65, 2 Pm 3.77
Tb5 0.4107 0.7762 0.0000  5 Ho 3.31-3.45, 4 Pm 3.51-3.56, 2 Tb 3.58
Tb6 0.5000 0.5000 0.0000  6 Ho 3.36, 4 Tb 3.58-3.65
Tb7 0.5893 0.2238 0.0000  5 Ho 3.31-3.45, 4 Pm 3.51-3.56, 2 Tb 3.58
Tb8 0.6998 0.9494 0.0000  7 Ho 3.55-3.93, 3 Tb 3.58-3.65, 2 Pm 3.77
Tb9 0.8002 0.4494 0.0000  7 Ho 3.55-3.93, 3 Tb 3.58-3.65, 2 Pm 3.77
Tb10 0.9107 0.7238 0.0000  5 Ho 3.31-3.45, 4 Pm 3.51-3.56, 2 Tb 3.58
Pm1 0.1696 0.7139 0.5000  3 Ho 3.35-3.62, 4 Tb 3.51-3.56, 2 Pm 3.58
Pm2 0.3304 0.2139 0.5000  3 Ho 3.35-3.62, 4 Tb 3.51-3.56, 2 Pm 3.58
Pm3 0.6696 0.7861 0.5000  3 Ho 3.35-3.62, 4 Tb 3.51-3.56, 2 Pm 3.58
Pm4 0.8304 0.2861 0.5000  3 Ho 3.35-3.62, 4 Tb 3.51-3.56, 2 Pm 3.58
Ho1 0.0591 0.4212 0.5000  6 Tb 3.45-3.57, 5 Ho 3.48-3.70, 1 Pm 3.82
Ho2 0.0794 0.1329 0.5000  1 Pm 3.35, 6 Tb 3.36-3.55, 4 Ho 3.49-3.58
Ho3 0.1777 0.8696 0.0000  2 Tb 3.31-3.36, 6 Ho 3.49-3.70, 2 Pm 3.62
Ho4 0.3223 0.3696 0.0000  2 Tb 3.31-3.36, 6 Ho 3.49-3.70, 2 Pm 3.62
Ho5 0.4206 0.6329 0.5000  1 Pm 3.35, 6 Tb 3.36-3.55, 4 Ho 3.49-3.58
Ho6 0.4409 0.9212 0.5000  6 Tb 3.45-3.57, 5 Ho 3.48-3.70, 1 Pm 3.82
Ho7 0.5591 0.0788 0.5000  6 Tb 3.45-3.57, 5 Ho 3.48-3.70, 1 Pm 3.82
Ho8 0.5794 0.3671 0.5000  1 Pm 3.35, 6 Tb 3.36-3.55, 4 Ho 3.49-3.58
Ho9 0.6777 0.6304 0.0000  2 Tb 3.31-3.36, 6 Ho 3.49-3.70, 2 Pm 3.62
Ho10 0.8223 0.1304 0.0000  2 Tb 3.31-3.36, 6 Ho 3.49-3.70, 2 Pm 3.62
Ho11 0.9206 0.8671 0.5000  1 Pm 3.35, 6 Tb 3.36-3.55, 4 Ho 3.49-3.58
Ho12 0.9409 0.5788 0.5000  6 Tb 3.45-3.57, 5 Ho 3.48-3.70, 1 Pm 3.82

---

# 8
Compound: LiIrSe
Source: the Alexandria database
Functional: PBE-GGA
Structure: optimized geometry

Properties
Raw total energy ... -4.876 eV/atom
Energy relative to the lowest polymorph listed for this composition ... 81 meV per atom
Size of the total moment ... 0.00 μB/cell

a b c (Å): 5.0741 5.0741 5.0741
angles (deg): 141.09 141.09 56.21
Closest atoms and distances in Å follow each position.
Sites, in units of the cell vectors:
Li1 0.0000 0.0000 0.0000  1 Se 2.62, 1 Ir 2.67
Ir1 0.7018 0.7018 0.0000  4 Se 2.52, 1 Li 2.67
Se1 0.2925 0.2925 0.0000  4 Ir 2.52, 1 Li 2.62

---

# 9
Compound: CuPd2Au5
Source: the Alexandria database
Functional: PBE-GGA
Structure: optimized geometry

Properties
Raw total energy ... -3.940 eV/atom
Energy of formation ... -81 meV/atom
Energy relative to the lowest polymorph listed for this composition ... 0 meV per atom
Size of the total moment ... 0.00 μB/cell

a b c (Å): 5.7007 11.4399 4.0996
angles (deg): 90.00 90.00 90.00
Closest atoms and distances in Å follow each position.
Sites, in units of the cell vectors:
Cu1 0.0000 0.0000 0.0000  8 Au 2.81-2.85, 4 Pd 2.89
Cu2 0.5000 0.5000 0.0000  8 Au 2.81-2.85, 4 Pd 2.89
Pd1 0.2448 0.3752 0.5000  10 Au 2.79-2.93, 2 Cu 2.89
Pd2 0.2552 0.8752 0.5000  10 Au 2.79-2.93, 2 Cu 2.89
Pd3 0.7448 0.1248 0.5000  10 Au 2.79-2.93, 2 Cu 2.89
Pd4 0.7552 0.6248 0.5000  10 Au 2.79-2.93, 2 Cu 2.89
Au1 0.0000 0.5000 0.0000  2 Cu 2.85, 4 Pd 2.86, 6 Au 2.88-2.91
Au2 0.0076 0.7546 0.0000  1 Cu 2.81, 4 Pd 2.85-2.91, 7 Au 2.85-2.95
Au3 0.2374 0.1193 0.5000  4 Pd 2.79-2.93, 2 Cu 2.81, 6 Au 2.87-2.95
Au4 0.2626 0.6193 0.5000  4 Pd 2.79-2.93, 2 Cu 2.81, 6 Au 2.87-2.95
Au5 0.4924 0.2546 0.0000  1 Cu 2.81, 4 Pd 2.85-2.91, 7 Au 2.85-2.95
Au6 0.5000 0.0000 0.0000  2 Cu 2.85, 4 Pd 2.86, 6 Au 2.88-2.91
Au7 0.5076 0.7454 0.0000  1 Cu 2.81, 4 Pd 2.85-2.91, 7 Au 2.85-2.95
Au8 0.7374 0.3807 0.5000  4 Pd 2.79-2.93, 2 Cu 2.81, 6 Au 2.87-2.95
Au9 0.7626 0.8807 0.5000  4 Pd 2.79-2.93, 2 Cu 2.81, 6 Au 2.87-2.95
Au10 0.9924 0.2454 0.0000  1 Cu 2.81, 4 Pd 2.85-2.91, 7 Au 2.85-2.95

---

# 10
Compound: Pu2USn
Source: the Alexandria database
Functional: PBE-GGA
Structure: optimized geometry

Properties
Raw total energy ... -10.452 eV/atom
Energy of formation ... 536 meV/atom
Energy relative to the lowest polymorph listed for this composition ... 578 meV per atom
Size of the total moment ... 8.00 μB/cell

a b c (Å): 9.4020 9.4020 9.4020
angles (deg): 22.37 22.37 22.37
Closest atoms and distances in Å follow each position.
Sites, in units of the cell vectors:
Pu1 0.1121 0.1121 0.1121  3 U 2.59
Pu2 0.8879 0.8879 0.8879  3 U 2.59
U1 0.5000 0.5000 0.5000  6 Pu 2.59
Sn1 0.0000 0.0000 0.0000  2 Pu 3.08

---

# 11
Compound: Ca4RuO6
Source: the Alexandria database
Functional: PBE-GGA
Structure: optimized geometry

Properties
Raw total energy ... -6.684 eV/atom
Size of the total moment ... 4.00 μB/cell

a b c (Å): 6.6042 6.6042 6.6042
angles (deg): 91.19 91.19 91.19
Closest atoms and distances in Å follow each position.
Sites, in units of the cell vectors:
Ca1 0.1092 0.7500 0.3908  6 O 2.40-2.51
Ca2 0.2500 0.2500 0.2500  6 O 2.34
Ca3 0.2500 0.6092 0.8908  6 O 2.40-2.51
Ca4 0.3908 0.1092 0.7500  6 O 2.40-2.51
Ca5 0.6092 0.8908 0.2500  6 O 2.40-2.51
Ca6 0.7500 0.3908 0.1092  6 O 2.40-2.51
Ca7 0.7500 0.7500 0.7500  6 O 2.34
Ca8 0.8908 0.2500 0.6092  6 O 2.40-2.51
Ru1 0.0000 0.0000 0.0000  6 O 2.04
Ru2 0.5000 0.5000 0.5000  6 O 2.04
O1 0.0549 0.9286 0.7048  1 Ru 2.04
O2 0.0714 0.2952 0.9451  1 Ru 2.04
O3 0.2048 0.4286 0.5549  1 Ru 2.04
O4 0.2952 0.9451 0.0714  1 Ru 2.04
O5 0.4286 0.5549 0.2048  1 Ru 2.04
O6 0.4451 0.7952 0.5714  1 Ru 2.04
O7 0.5549 0.2048 0.4286  1 Ru 2.04
O8 0.5714 0.4451 0.7952  1 Ru 2.04
O9 0.7048 0.0549 0.9286  1 Ru 2.04
O10 0.7952 0.5714 0.4451  1 Ru 2.04
O11 0.9286 0.7048 0.0549  1 Ru 2.04
O12 0.9451 0.0714 0.2952  1 Ru 2.04

---

# 12
Compound: Pr3SnO7
Source: the Alexandria database
Functional: PBE-GGA
Structure: optimized geometry

Properties
Raw total energy ... -7.503 eV/atom
Size of the total moment ... 2.12 μB/cell

a b c (Å): 6.6881 6.6881 7.9107
angles (deg): 90.00 90.00 70.97
Closest atoms and distances in Å follow each position.
Sites, in units of the cell vectors:
Pr1 0.0000 0.0000 0.0000  8 O 2.46-2.72
Pr2 0.0000 0.0000 0.5000  8 O 2.46-2.72
Pr3 0.0695 0.4833 0.7500  6 O 2.34-2.48
Pr4 0.4833 0.0695 0.2500  6 O 2.34-2.48
Pr5 0.5167 0.9305 0.7500  6 O 2.34-2.48
Pr6 0.9305 0.5167 0.2500  6 O 2.34-2.48
Sn1 0.5000 0.5000 0.0000  6 O 2.08-2.10
Sn2 0.5000 0.5000 0.5000  6 O 2.08-2.10
O1 0.1132 0.1535 0.2500  4 Pr 2.34-2.46
O2 0.1535 0.1132 0.7500  4 Pr 2.34-2.46
O3 0.1725 0.5727 0.0340  1 Sn 2.10
O4 0.1725 0.5727 0.4660  1 Sn 2.10
O5 0.4171 0.5829 0.7500  2 Sn 2.08
O6 0.4273 0.8275 0.0340  1 Sn 2.10
O7 0.4273 0.8275 0.4660  1 Sn 2.10
O8 0.5727 0.1725 0.5340  1 Sn 2.10
O9 0.5727 0.1725 0.9660  1 Sn 2.10
O10 0.5829 0.4171 0.2500  2 Sn 2.08
O11 0.8275 0.4273 0.5340  1 Sn 2.10
O12 0.8275 0.4273 0.9660  1 Sn 2.10
O13 0.8465 0.8868 0.2500  4 Pr 2.34-2.46
O14 0.8868 0.8465 0.7500  4 Pr 2.34-2.46

---

# 13
Compound: SrGePb
Source: the Alexandria database
Functional: PBE-GGA
Structure: optimized geometry

Properties
Raw total energy ... -3.762 eV/atom
Energy of formation ... -426 meV/atom
Energy relative to the lowest polymorph listed for this composition ... 0 meV per atom
Size of the total moment ... 0.00 μB/cell

a b c (Å): 4.1326 4.6427 9.7311
angles (deg): 76.37 89.69 90.00
Closest atoms and distances in Å follow each position.
Sites, in units of the cell vectors:
Sr1 0.0000 0.0000 0.0000  6 Ge 3.26-3.44
Sr2 0.4955 0.8158 0.3722  6 Ge 3.26-3.44
Ge1 0.4987 0.4482 0.1042  2 Ge 2.58
Ge2 0.9968 0.3675 0.2677  2 Ge 2.58
Pb1 0.5002 0.6218 0.7599  1 Ge 3.26, 4 Pb 3.38-3.43
Pb2 0.9951 0.1966 0.6125  1 Ge 3.26, 4 Pb 3.38-3.43